[1]
# TaIrPb2

TaIrPb2 after structural relaxation (PBE, Alexandria via LeMat-Bulk).

Cell and atoms, written as POSCAR:
```
TaIrPb2
1.0
4.5728 0.0000 0.0000
0.0000 3.1441 -0.0036
0.0000 0.3743 5.8446
Ir Pb Ta
1 2 1
Direct
0.5000 0.7500 0.7500
0.0000 0.5560 0.5039
0.0000 0.9440 0.9961
0.5000 0.2500 0.2500
```

[2]
# TaIrPb2

TaIrPb2 after structural relaxation (PBE, Alexandria via LeMat-Bulk).

Cell and atoms, written as POSCAR:
```
TaIrPb2
1.0
3.1699 0.0086 0.0000
-0.7973 3.0680 0.0000
0.0000 0.0000 8.5648
Ta Ir Pb
1 1 2
Direct
0.5000 0.5000 0.2500
0.5000 0.5000 0.7500
0.0000 0.0000 0.9832
0.0000 0.0000 0.5168
```

Sequential formation enthalpy at 0 K output: 0.672; 0.677 eV/atom
Sequential energy above the lowest structure with this stoichiometry output: 663.2; 668.7 meV per atom
Sequential final energy output: -6.36; -6.36 eV/atom